# LiTb3Nd4Se8 PBE optimized geometry
data_LiTb3Nd4Se8
_cell_length_a 8.2725
_cell_length_b 8.3309
_cell_length_c 8.2724
_cell_angle_alpha 119.77
_cell_angle_beta 120.00
_cell_angle_gamma 90.00
_symmetry_space_group_name_H-M 'P 1'
_symmetry_Int_Tables_number 1
_symmetry_space_group_name_Hall 'P 1'
loop_
_atom_site_label
_atom_site_fract_x
_atom_site_fract_y
_atom_site_fract_z
Se1 0.2411 0.7332 0.4822
Se2 0.7589 0.2668 0.5178
Se3 0.7460 0.7381 0.4920
Se4 0.2540 0.2619 0.5080
Se5 0.7589 0.2668 0.0079
Se6 0.7511 0.7332 0.9921
Se7 0.2411 0.7332 0.9921
Tb1 0.5000 0.5000 0.5000
Nd1 0.5000 0.0000 0.0000
Se8 0.2489 0.2668 0.0079
Tb2 0.5000 0.5000 0.0000
Li1 0.0000 0.5000 0.0000
Nd2 0.0000 0.0000 0.0000
Nd3 0.0000 0.0000 0.5000
Nd4 0.5000 0.0000 0.5000
Tb3 0.0000 0.5000 0.5000
# - SG = R-3m
# - energy relative to the elements, uncorrected (meV per atom) = -1787
# - VASP energy (eV per cell) = -91.34
# - total magnetization (μB per cell) = 0.0